A geometry-optimized TlS3I structure. Source: Alexandria, functional GGA-PBE.

Crystal system: cubic
Energy in eV/atom: -2.74
Formation energy (no corrections) in eV/atom: 0.5170
Total magnetization in μB/f.u.: 0.0
Space group: Pm-3m

a = 5.177 Å, b = 5.177 Å, c = 5.177 Å
α = 90.00°, β = 90.00°, γ = 90.00°
Fractional coordinates of all 5 atoms:
Tl 0.000 0.000 0.000
S 0.000 0.500 0.500
S 0.500 0.000 0.500
S 0.500 0.500 0.000
I 0.500 0.500 0.500